VASP calculation (PBE-GGA) on a geometry-optimized LuTaSn2Pt2 structure.

```
LuTaSn2Pt2
1.0
4.505 0.000 0.000
0.000 9.015 0.000
0.000 0.000 6.386
Lu Ta Sn Pt
2 2 4 4
direct
0.000 0.124 0.000 Lu
0.500 0.876 0.500 Lu
0.000 0.624 0.005 Ta
0.500 0.376 0.505 Ta
0.000 0.125 0.494 Sn
0.000 0.627 0.514 Sn
0.500 0.373 0.014 Sn
0.500 0.875 0.994 Sn
0.000 0.387 0.265 Pt
0.000 0.860 0.239 Pt
0.500 0.140 0.739 Pt
0.500 0.613 0.765 Pt
```

symmetry: Pmn2_1 (31)
crystal system: orthorhombic
total energy: -6.905 eV/atom